The following is a PBE-GGA calculation of a relaxed RbAl2Ge2 crystal, from Alexandria via LeMat-Bulk.

Lattice parameters (Å, degrees): 4.2365 4.2365 6.8022 90.00 90.00 90.00
Last column: nearest neighbours and their distance in Å.
Atoms (fractional coordinates):
Rb 0.0000 0.0000 0.0000  8 Ge 3.47
Al 0.0000 0.5000 0.5000  4 Ge 2.68, 4 Al 3.00
Al 0.5000 0.0000 0.5000  4 Ge 2.68, 4 Al 3.00
Ge 0.5000 0.5000 0.2586  4 Al 2.68
Ge 0.5000 0.5000 0.7414  4 Al 2.68

## Properties
The total magnetic moment is 0.00 μB/f.u. As for the space group: P4/mmm. The formation energy comes out at 36 meV per atom. As for the energy above the most stable polymorph in this dataset: 173 meV/atom. For the density of states at the Fermi level, the calculation gives 2.3 states/eV/f.u.